Na2TeH10O8, single point on PBEsol structure, DFT meta-GGA SCAN; E_tot = -155.9 eV per formula unit; DOS at the Fermi energy = 0.00 states/eV/cell; total magnetization = 0.0 μB/cell; symmetry = C2/c, No. 15
1.0
6.631 -3.640 0.000
6.631 3.640 0.000
-1.615 0.000 17.161
Na Te H O
8 4 40 32
direct
0.000 0.500 0.000
0.020 0.980 0.750
0.025 0.062 0.423
0.062 0.025 0.923
0.500 0.000 0.500
0.938 0.975 0.077
0.975 0.938 0.577
0.980 0.020 0.250
0.322 0.362 0.320
0.362 0.322 0.820
0.638 0.678 0.180
0.678 0.638 0.680
0.026 0.286 0.147
0.049 0.626 0.160
0.060 0.339 0.539
0.063 0.247 0.646
0.090 0.583 0.655
0.124 0.353 0.454
0.247 0.063 0.146
0.267 0.625 0.156
0.286 0.026 0.647
0.302 0.593 0.655
0.312 0.617 0.955
0.339 0.060 0.039
0.343 0.656 0.456
0.344 0.657 0.044
0.353 0.124 0.954
0.374 0.951 0.340
0.375 0.733 0.344
0.383 0.688 0.545
0.407 0.698 0.845
0.417 0.910 0.845
0.583 0.090 0.155
0.593 0.302 0.155
0.617 0.312 0.455
0.625 0.267 0.656
0.626 0.049 0.660
0.647 0.876 0.046
0.656 0.343 0.956
0.657 0.344 0.544
0.661 0.940 0.961
0.688 0.383 0.045
0.698 0.407 0.345
0.714 0.974 0.353
0.733 0.375 0.844
0.753 0.937 0.854
0.876 0.647 0.546
0.910 0.417 0.345
0.937 0.753 0.354
0.940 0.661 0.461
0.951 0.374 0.840
0.974 0.714 0.853
0.074 0.497 0.377
0.094 0.131 0.154
0.101 0.463 0.865
0.120 0.707 0.173
0.131 0.094 0.654
0.150 0.254 0.495
0.158 0.663 0.675
0.234 0.707 0.001
0.254 0.150 0.995
0.293 0.766 0.499
0.293 0.880 0.327
0.337 0.842 0.825
0.462 0.480 0.378
0.463 0.101 0.365
0.480 0.462 0.878
0.497 0.074 0.877
0.503 0.926 0.123
0.520 0.538 0.122
0.537 0.899 0.635
0.538 0.520 0.622
0.663 0.158 0.175
0.707 0.120 0.673
0.707 0.234 0.501
0.746 0.850 0.005
0.766 0.293 0.999
0.842 0.337 0.325
0.850 0.746 0.505
0.869 0.906 0.346
0.880 0.293 0.827
0.899 0.537 0.135
0.906 0.869 0.846
0.926 0.503 0.623